MnRe2Mo | the Alexandria database | GGA-PBE | relaxed; ΔE_f = 8.55 kJ/mol of atoms; polymorph energy (0 for the lowest one) = 0.0 meV per atom; DOS at the Fermi energy = 4.0 states/eV/cell
1.0
3.127 0.000 0.000
0.000 3.127 0.000
0.000 0.000 5.964
Mn Re Mo
1 2 1
Direct
0.000 0.000 0.000
0.500 0.500 0.237
0.500 0.500 0.763
0.000 0.000 0.500


MnBeW | the Alexandria database | GGA-PBE | relaxed; ΔE_f = 57.13 kJ/mol of atoms; DOS at the Fermi energy = 2.8 states/eV/cell
1.0
0.000 2.703 2.703
2.703 0.000 2.703
2.703 2.703 0.000
Mn Be W
1 1 1
Direct
0.000 0.000 0.000
0.750 0.750 0.750
0.500 0.500 0.500


ZnTc2Au | the Alexandria database | GGA-PBE | relaxed; ΔE_f = -0.31 kJ/mol of atoms; DOS at the Fermi energy = 0.6 states/eV/cell
1.0
1.402 0.809 9.083
-1.402 0.809 9.083
0.000 -1.619 9.083
Zn Tc Au
1 2 1
Direct
0.000 0.000 0.000
0.490 0.490 0.490
0.749 0.749 0.749
0.249 0.249 0.249